Li2CaGa4: optimized geometry, GGA-PBE.

* symmetry: Immm
* ΔE_f: -30.18 kJ per mole of atoms
* VASP energy: -2.875 eV per atom
* crystal system: orthorhombic
* N(E_F): 2.295 states/eV/f.u.

POSCAR file:
```
Li2CaGa4
1.0
3.408 0.000 0.000
0.000 4.382 0.000
0.000 0.000 18.386
Li Ca Ga
4 2 8
Cartesian
0.000 0.000 3.692
0.000 0.000 14.694
1.704 2.191 5.501
1.704 2.191 12.885
0.000 2.191 0.000
1.704 0.000 9.193
0.000 0.000 6.429
0.000 0.000 11.957
0.000 2.191 7.814
0.000 2.191 10.573
1.704 0.000 1.379
1.704 0.000 17.007
1.704 2.191 2.764
1.704 2.191 15.623
```